(i)
Computed, not measured: an optimized crystal structure of Zr2In2Bi at the PBE-GGA level of DFT.

Values from the calculation:
Theoretical density, g cm⁻³: 8.1
D(E_F), states/eV per cell: 5.18
Magnetic moment, μB per formula unit: 0.00

Cell lengths 7.5819, 7.5819, 4.4146 Å; angles 90.00, 90.00, 90.00 degrees
Last column: nearest neighbours and their distance in Å.
Fractional coordinates of all 10 atoms:
Zr: 0.1515 0.3485 0.0000  2 Bi 2.88, 6 In 3.07-3.18
Zr: 0.3485 0.8485 0.0000  2 Bi 2.88, 6 In 3.07-3.18
Zr: 0.6515 0.1515 0.0000  2 Bi 2.88, 6 In 3.07-3.18
Zr: 0.8485 0.6515 0.0000  2 Bi 2.88, 6 In 3.07-3.18
In: 0.1501 0.6501 0.5000  6 Zr 3.07-3.18, 1 In 3.22
In: 0.3499 0.1501 0.5000  6 Zr 3.07-3.18, 1 In 3.22
In: 0.6501 0.8499 0.5000  6 Zr 3.07-3.18, 1 In 3.22
In: 0.8499 0.3499 0.5000  6 Zr 3.07-3.18, 1 In 3.22
Bi: 0.0000 0.0000 0.0000  4 Zr 2.88
Bi: 0.5000 0.5000 0.0000  4 Zr 2.88



(ii)
Computed, not measured: an optimized crystal structure of Zr2In2Bi at the PBE-GGA level of DFT.

Values from the calculation:
Theoretical density, g cm⁻³: 8.3
D(E_F), states/eV per cell: 15.58
Magnetic moment, μB per formula unit: 0.00

Cell lengths 7.8882, 7.8882, 3.9976 Å; angles 90.00, 90.00, 90.00 degrees
Last column: nearest neighbours and their distance in Å.
Fractional coordinates of all 10 atoms:
Zr: 0.1742 0.3258 0.0000  6 In 2.99-3.12
Zr: 0.3258 0.8258 0.0000  6 In 2.99-3.12
Zr: 0.6742 0.1742 0.0000  6 In 2.99-3.12
Zr: 0.8258 0.6742 0.0000  6 In 2.99-3.12
In: 0.1262 0.6262 0.5000  1 In 2.82, 6 Zr 2.99-3.12, 2 Bi 3.11
In: 0.3738 0.1262 0.5000  1 In 2.82, 6 Zr 2.99-3.12, 2 Bi 3.11
In: 0.6262 0.8738 0.5000  1 In 2.82, 6 Zr 2.99-3.12, 2 Bi 3.11
In: 0.8738 0.3738 0.5000  1 In 2.82, 6 Zr 2.99-3.12, 2 Bi 3.11
Bi: 0.0000 0.0000 0.5000  4 In 3.11
Bi: 0.5000 0.5000 0.5000  4 In 3.11



Going by the energies, (i) is most stable and the next is 196 meV/atom up.



(i)
Computed, not measured: an optimized crystal structure of ZrInBi3 at the PBE-GGA level of DFT.

Values from the calculation:
Theoretical density, g cm⁻³: 7.8
D(E_F), states/eV per cell: 5.93
Magnetic moment, μB per formula unit: 0.01

Cell lengths 5.6218, 5.6218, 5.6218 Å; angles 90.00, 90.00, 90.00 degrees
Last column: nearest neighbours and their distance in Å.
Fractional coordinates of all 5 atoms:
Zr: 0.0000 0.0000 0.0000  12 Bi 3.98
In: 0.5000 0.5000 0.5000  6 Bi 2.81
Bi: 0.0000 0.5000 0.5000  2 In 2.81
Bi: 0.5000 0.0000 0.5000  2 In 2.81
Bi: 0.5000 0.5000 0.0000  2 In 2.81



(ii)
Computed, not measured: an optimized crystal structure of ZrInBi3 at the PBE-GGA level of DFT.

Values from the calculation:
Theoretical density, g cm⁻³: 7.4
D(E_F), states/eV per cell: 3.65
Magnetic moment, μB per formula unit: 0.00

Cell lengths 5.7140, 5.7140, 5.7140 Å; angles 90.00, 90.00, 90.00 degrees
Last column: nearest neighbours and their distance in Å.
Fractional coordinates of all 5 atoms:
Zr: 0.0000 0.0000 0.0000  6 Bi 2.86
In: 0.5000 0.5000 0.5000  12 Bi 4.04
Bi: 0.0000 0.0000 0.5000  2 Zr 2.86
Bi: 0.0000 0.5000 0.0000  2 Zr 2.86
Bi: 0.5000 0.0000 0.0000  2 Zr 2.86



Going by the energies, (ii) is most stable and the next is 758 meV/atom up.



(i)
Computed, not measured: an optimized crystal structure of Bi3Ir at the PBE-GGA level of DFT.

Values from the calculation:
Theoretical density, g cm⁻³: 11.9
D(E_F), states/eV per cell: 4.57
Magnetic moment, μB per formula unit: 0.00

Cell lengths 3.5126, 12.0002, 5.4288 Å; angles 90.00, 90.00, 90.00 degrees
Last column: nearest neighbours and their distance in Å.
Fractional coordinates of all 8 atoms:
Bi: 0.0000 0.0000 0.0000  2 Ir 2.79
Bi: 0.0000 0.1717 0.5445  2 Ir 2.82
Bi: 0.0000 0.8283 0.5445  2 Ir 2.82
Bi: 0.5000 0.3283 0.0445  2 Ir 2.82
Bi: 0.5000 0.5000 0.5000  2 Ir 2.79
Bi: 0.5000 0.6717 0.0445  2 Ir 2.82
Ir: 0.0000 0.5000 0.8991  6 Bi 2.79-2.82
Ir: 0.5000 0.0000 0.3991  6 Bi 2.79-2.82



(ii)
Computed, not measured: an optimized crystal structure of Bi3Ir at the PBE-GGA level of DFT.

Values from the calculation:
Theoretical density, g cm⁻³: 12.0
D(E_F), states/eV per cell: 6.29
Magnetic moment, μB per formula unit: 0.00

Cell lengths 6.8773, 6.8773, 5.5578 Å; angles 90.00, 90.00, 120.00 degrees
Last column: nearest neighbours and their distance in Å.
Fractional coordinates of all 8 atoms:
Bi: 0.0000 0.3147 0.0000  2 Ir 2.74
Bi: 0.0000 0.6853 0.5000  2 Ir 2.74
Bi: 0.3147 0.0000 0.0000  2 Ir 2.74
Bi: 0.3147 0.3147 0.5000  2 Ir 2.74
Bi: 0.6853 0.0000 0.5000  2 Ir 2.74
Bi: 0.6853 0.6853 0.0000  2 Ir 2.74
Ir: 0.3333 0.6667 0.2500  6 Bi 2.74
Ir: 0.6667 0.3333 0.7500  6 Bi 2.74



Going by the energies, (ii) is most stable and the next is 50 meV/atom up.



(i)
Computed, not measured: an optimized crystal structure of KBi3Ir at the PBE-GGA level of DFT.

Values from the calculation:
Theoretical density, g cm⁻³: 7.6
D(E_F), states/eV per cell: 8.02
Magnetic moment, μB per formula unit: 2.16

Cell lengths 5.7230, 5.7230, 5.7230 Å; angles 90.00, 90.00, 90.00 degrees
Last column: nearest neighbours and their distance in Å.
Fractional coordinates of all 5 atoms:
K: 0.0000 0.0000 0.0000  6 Bi 2.86
Bi: 0.0000 0.0000 0.5000  2 K 2.86
Bi: 0.0000 0.5000 0.0000  2 K 2.86
Bi: 0.5000 0.0000 0.0000  2 K 2.86
Ir: 0.5000 0.5000 0.5000  12 Bi 4.05



(ii)
Computed, not measured: an optimized crystal structure of KBi3Ir at the PBE-GGA level of DFT.

Values from the calculation:
Theoretical density, g cm⁻³: 8.5
D(E_F), states/eV per cell: 3.30
Magnetic moment, μB per formula unit: 0.00

Cell lengths 5.5171, 5.5171, 5.5171 Å; angles 90.00, 90.00, 90.00 degrees
Last column: nearest neighbours and their distance in Å.
Fractional coordinates of all 5 atoms:
K: 0.0000 0.0000 0.0000  12 Bi 3.90
Bi: 0.0000 0.5000 0.5000  2 Ir 2.76
Bi: 0.5000 0.0000 0.5000  2 Ir 2.76
Bi: 0.5000 0.5000 0.0000  2 Ir 2.76
Ir: 0.5000 0.5000 0.5000  6 Bi 2.76



Going by the energies, (ii) is most stable and the next is 1795 meV/atom up.



(i)
Computed, not measured: an optimized crystal structure of KMnBiIr2 at the PBE-GGA level of DFT.

Values from the calculation:
Theoretical density, g cm⁻³: 8.7
D(E_F), states/eV per cell: 8.91
Magnetic moment, μB per formula unit: 0.29

Cell lengths 5.1307, 5.1307, 4.9986 Å; angles 90.00, 90.00, 90.00 degrees
Last column: nearest neighbours and their distance in Å.
Fractional coordinates of all 5 atoms:
K: 0.0000 0.0000 0.0000  8 Ir 3.58, 4 Mn 3.63
Mn: 0.5000 0.5000 0.0000  2 Bi 2.50
Bi: 0.5000 0.5000 0.5000  2 Mn 2.50, 4 Ir 2.57
Ir: 0.0000 0.5000 0.5000  2 Bi 2.57
Ir: 0.5000 0.0000 0.5000  2 Bi 2.57



(ii)
Computed, not measured: an optimized crystal structure of KMnBiIr2 at the PBE-GGA level of DFT.

Values from the calculation:
Theoretical density, g cm⁻³: 7.6
D(E_F), states/eV per cell: 5.09
Magnetic moment, μB per formula unit: 4.13

Cell lengths 5.0875, 5.0875, 5.7872 Å; angles 90.00, 90.00, 90.00 degrees
Last column: nearest neighbours and their distance in Å.
Fractional coordinates of all 5 atoms:
K: 0.0000 0.0000 0.0000  2 Bi 2.89
Mn: 0.5000 0.5000 0.0000  4 K 3.60, 8 Ir 3.85
Bi: 0.0000 0.0000 0.5000  4 Ir 2.54
Ir: 0.0000 0.5000 0.5000  2 Bi 2.54
Ir: 0.5000 0.0000 0.5000  2 Bi 2.54



Going by the energies, (ii) is most stable and the next is 46 meV/atom up.



(i)
Computed, not measured: an optimized crystal structure of La4BiIr2 at the PBE-GGA level of DFT.

Values from the calculation:
Theoretical density, g cm⁻³: 8.2
D(E_F), states/eV per cell: 14.48
Magnetic moment, μB per formula unit: 0.00

Cell lengths 8.4599, 8.4599, 8.4599 Å; angles 110.10, 109.92, 108.40 degrees
Last column: nearest neighbours and their distance in Å.
Fractional coordinates of all 14 atoms:
La: 0.1335 0.4492 0.6842  3 Ir 2.80-3.02
La: 0.1839 0.0000 0.1839  3 Ir 2.80-3.02
La: 0.2500 0.5662 0.3162  3 Ir 2.80-3.02
La: 0.2500 0.9339 0.6838  3 Ir 2.80-3.02
La: 0.6992 0.5150 0.8158  3 Ir 2.80-3.02
La: 0.6992 0.8834 0.1842  3 Ir 2.80-3.02
La: 0.7650 0.4492 0.3158  3 Ir 2.80-3.02
La: 0.8161 0.0000 0.8161  3 Ir 2.80-3.02
Bi: 0.3496 0.3496 0.0000  4 La 3.22
Bi: 0.5978 0.0978 0.5000  4 La 3.22
Ir: 0.4747 0.7245 0.7502  6 La 2.80-3.02
Ir: 0.9743 0.7245 0.2498  6 La 2.80-3.02
Ir: 0.9745 0.2247 0.2502  6 La 2.80-3.02
Ir: 0.9745 0.7243 0.7498  6 La 2.80-3.02



(ii)
Computed, not measured: an optimized crystal structure of La4BiIr2 at the PBE-GGA level of DFT.

Values from the calculation:
Theoretical density, g cm⁻³: 7.2
D(E_F), states/eV per cell: 20.16
Magnetic moment, μB per formula unit: 0.00

Cell lengths 6.1475, 6.1475, 13.9610 Å; angles 90.00, 90.00, 90.00 degrees
Last column: nearest neighbours and their distance in Å.
Fractional coordinates of all 14 atoms:
La: 0.0000 0.0000 0.2325  1 Ir 2.48
La: 0.0000 0.0000 0.7675  1 Ir 2.48
La: 0.0000 0.5000 0.0000  2 Bi 3.07, 4 Ir 3.32
La: 0.0000 0.5000 0.5000  2 Bi 3.07, 4 Ir 3.32
La: 0.5000 0.0000 0.0000  2 Bi 3.07, 4 Ir 3.32
La: 0.5000 0.0000 0.5000  2 Bi 3.07, 4 Ir 3.32
La: 0.5000 0.5000 0.2675  1 Ir 2.48
La: 0.5000 0.5000 0.7325  1 Ir 2.48
Bi: 0.0000 0.0000 0.0000  6 La 3.07-3.25
Bi: 0.5000 0.5000 0.5000  6 La 3.07-3.25
Ir: 0.0000 0.0000 0.4101  1 La 2.48, 1 Ir 2.51
Ir: 0.0000 0.0000 0.5899  1 La 2.48, 1 Ir 2.51
Ir: 0.5000 0.5000 0.0899  1 La 2.48, 1 Ir 2.51
Ir: 0.5000 0.5000 0.9101  1 La 2.48, 1 Ir 2.51



(iii)
Computed, not measured: an optimized crystal structure of La4BiIr2 at the PBE-GGA level of DFT.

Values from the calculation:
Theoretical density, g cm⁻³: 8.7
D(E_F), states/eV per cell: 13.04
Magnetic moment, μB per formula unit: 0.00

Cell lengths 7.3493, 7.3493, 14.1865 Å; angles 90.00, 90.00, 145.30 degrees
Last column: nearest neighbours and their distance in Å.
Fractional coordinates of all 14 atoms:
La: 0.0000 0.0000 0.0000  4 Ir 2.98
La: 0.0000 0.0000 0.5000  4 Ir 2.98
La: 0.2668 0.7332 0.6088  3 Ir 2.81-2.99
La: 0.2668 0.7332 0.8912  3 Ir 2.81-2.99
La: 0.4346 0.5654 0.2500  2 Ir 2.83
La: 0.5654 0.4346 0.7500  2 Ir 2.83
La: 0.7332 0.2668 0.1088  3 Ir 2.81-2.99
La: 0.7332 0.2668 0.3912  3 Ir 2.81-2.99
Bi: 0.1089 0.8911 0.2500  6 La 3.28-3.44
Bi: 0.8911 0.1089 0.7500  6 La 3.28-3.44
Ir: 0.3698 0.6302 0.0611  6 La 2.81-2.99
Ir: 0.3698 0.6302 0.4389  6 La 2.81-2.99
Ir: 0.6302 0.3698 0.5611  6 La 2.81-2.99
Ir: 0.6302 0.3698 0.9389  6 La 2.81-2.99



Going by the energies, (iii) is most stable and the next is 117 meV/atom up.